# LiZn5Rh4

A relaxed LiZn5Rh4 crystal (PBE-GGA, Alexandria via LeMat-Bulk).

Cell lengths 3.053, 3.053, 14.922 Å; angles 90.00, 90.00, 90.00 degrees
Element x y z (fractional)
Li: 0.000 0.000 0.000
Zn: 0.500 0.500 0.105
Zn: 0.500 0.500 0.301
Zn: 0.500 0.500 0.500
Zn: 0.500 0.500 0.699
Zn: 0.500 0.500 0.895
Rh: 0.000 0.000 0.199
Rh: 0.000 0.000 0.400
Rh: 0.000 0.000 0.600
Rh: 0.000 0.000 0.801

Summary:
* crystal system: tetragonal
* VASP energy: -4.14 eV/atom
* space group: P4/mmm, No. 123